1.
! CaZrCl2 | the Alexandria database | PBE-GGA | optimized geometry; values from VASP
&SYSTEM
  ibrav = 0, nat = 4, ntyp = 3
/
ATOMIC_SPECIES
Ca 40.08 Ca.upf
Zr 91.22 Zr.upf
Cl 35.45 Cl.upf
CELL_PARAMETERS angstrom
-1.8965 1.8965 6.7859
1.8965 -1.8965 6.7859
1.8965 1.8965 -6.7859
ATOMIC_POSITIONS crystal
Ca 0.0000 0.0000 0.0000
Zr 0.7500 0.2500 0.5000
Cl 0.2500 0.7500 0.5000
Cl 0.5000 0.5000 0.0000
! DOS(E_F)   0.7896 states/eV/atom
! Energy relative to the elements, uncorrected   -73.3 kJ per mole of atoms
! Electronic total energy   -4.3200 eV per atom
! Polymorph energy (0 for the lowest one)   0.4144 eV per atom



2.
! TlSbPd3 | the Alexandria database | PBE-GGA | optimized geometry; values from VASP
&SYSTEM
  ibrav = 0, nat = 20, ntyp = 3
/
ATOMIC_SPECIES
Tl 204.38 Tl.upf
Sb 121.76 Sb.upf
Pd 106.42 Pd.upf
CELL_PARAMETERS angstrom
7.8549 0.0000 0.0000
0.0000 5.5201 0.0000
-4.7806 0.0000 8.9590
ATOMIC_POSITIONS crystal
Tl 0.1679 0.2438 0.0838
Tl 0.1679 0.2562 0.5838
Tl 0.8321 0.7438 0.4162
Tl 0.8321 0.7562 0.9162
Sb 0.3443 0.6715 0.3299
Sb 0.3443 0.8285 0.8299
Sb 0.6557 0.1715 0.1701
Sb 0.6557 0.3285 0.6701
Pd 0.0066 0.5730 0.7157
Pd 0.0066 0.9270 0.2157
Pd 0.2442 0.7378 0.0423
Pd 0.2442 0.7622 0.5423
Pd 0.3597 0.1816 0.4105
Pd 0.3597 0.3184 0.9105
Pd 0.6403 0.6816 0.0895
Pd 0.6403 0.8184 0.5895
Pd 0.7558 0.2378 0.4577
Pd 0.7558 0.2622 0.9577
Pd 0.9934 0.0730 0.7843
Pd 0.9934 0.4270 0.2843
! DOS(E_F)   0.4743 states/eV/atom
! Energy relative to the elements, uncorrected   -26.8 kJ per mole of atoms
! Electronic total energy   -4.6910 eV per atom
! Polymorph energy (0 for the lowest one)   0.0000 eV per atom



3.
! Pr4Tl2In | the Alexandria database | PBE-GGA | optimized geometry; values from VASP
&SYSTEM
  ibrav = 0, nat = 7, ntyp = 3
/
ATOMIC_SPECIES
Pr 140.91 Pr.upf
Tl 204.38 Tl.upf
In 114.82 In.upf
CELL_PARAMETERS angstrom
-3.8691 3.8691 3.9003
3.8691 -3.8691 3.9003
3.8691 3.8691 -3.9003
ATOMIC_POSITIONS crystal
Pr 0.0000 0.0000 0.5000
Pr 0.0000 0.5000 0.0000
Pr 0.5000 0.0000 0.0000
Pr 0.5000 0.5000 0.5000
Tl 0.0000 0.5000 0.5000
Tl 0.5000 0.0000 0.5000
In 0.0000 0.0000 0.0000
! DOS(E_F)   1.2038 states/eV/atom
! Electronic total energy   -4.0885 eV per atom
! Polymorph energy (0 for the lowest one)   0.0000 eV per atom
! Calculated formation energy   -0.290 eV/atom



What did the second record say?
! TlSbPd3 | the Alexandria database | PBE-GGA | optimized geometry; values from VASP
&SYSTEM
  ibrav = 0, nat = 20, ntyp = 3
/
ATOMIC_SPECIES
Tl 204.38 Tl.upf
Sb 121.76 Sb.upf
Pd 106.42 Pd.upf
CELL_PARAMETERS angstrom
7.8549 0.0000 0.0000
0.0000 5.5201 0.0000
-4.7806 0.0000 8.9590
ATOMIC_POSITIONS crystal
Tl 0.1679 0.2438 0.0838
Tl 0.1679 0.2562 0.5838
Tl 0.8321 0.7438 0.4162
Tl 0.8321 0.7562 0.9162
Sb 0.3443 0.6715 0.3299
Sb 0.3443 0.8285 0.8299
Sb 0.6557 0.1715 0.1701
Sb 0.6557 0.3285 0.6701
Pd 0.0066 0.5730 0.7157
Pd 0.0066 0.9270 0.2157
Pd 0.2442 0.7378 0.0423
Pd 0.2442 0.7622 0.5423
Pd 0.3597 0.1816 0.4105
Pd 0.3597 0.3184 0.9105
Pd 0.6403 0.6816 0.0895
Pd 0.6403 0.8184 0.5895
Pd 0.7558 0.2378 0.4577
Pd 0.7558 0.2622 0.9577
Pd 0.9934 0.0730 0.7843
Pd 0.9934 0.4270 0.2843
! DOS(E_F)   0.4743 states/eV/atom
! Energy relative to the elements, uncorrected   -26.8 kJ per mole of atoms
! Electronic total energy   -4.6910 eV per atom
! Polymorph energy (0 for the lowest one)   0.0000 eV per atom